Entry 1:
Computed, not measured: PmHoIr2 at its PBEsol-relaxed geometry at the SCAN level of DFT.

Geometry as CIF:
```
data_PmHoIr2
_space_group_name_H-M_alt 'F m -3 m'
_space_group_IT_number 225
_space_group_name_Hall '-F 4 2 3'
_cell_length_a 6.834
_cell_length_b 6.834
_cell_length_c 6.834
_cell_angle_alpha 90.00
_cell_angle_beta 90.00
_cell_angle_gamma 90.00
loop_
_atom_site_label
_atom_site_fract_x
_atom_site_fract_y
_atom_site_fract_z
Pm1 0.000 0.000 0.000
Ho1 0.000 0.000 0.500
Ir1 0.250 0.250 0.250
```

* calculated formation energy: -0.87 eV/atom
* crystal system: cubic

=====

Entry 2:
Computed, not measured: Ho2IrRu at its PBEsol-relaxed geometry at the SCAN level of DFT.

Geometry as CIF:
```
data_Ho2IrRu
_space_group_name_H-M_alt 'F m -3 m'
_space_group_IT_number 225
_space_group_name_Hall '-F 4 2 3'
_cell_length_a 6.679
_cell_length_b 6.679
_cell_length_c 6.679
_cell_angle_alpha 90.00
_cell_angle_beta 90.00
_cell_angle_gamma 90.00
loop_
_atom_site_label
_atom_site_fract_x
_atom_site_fract_y
_atom_site_fract_z
Ho1 0.250 0.250 0.250
Ir1 0.000 0.000 0.000
Ru1 0.000 0.000 0.500
```

* calculated formation energy: -0.81 eV/atom
* crystal system: cubic

=====

Entry 3:
Computed, not measured: HoSiIr at its PBEsol-relaxed geometry at the SCAN level of DFT.

Geometry as CIF:
```
data_HoSiIr
_space_group_name_H-M_alt 'P n m a'
_space_group_IT_number 62
_cell_length_a 6.763
_cell_length_b 4.184
_cell_length_c 7.325
_cell_angle_alpha 90.00
_cell_angle_beta 90.00
_cell_angle_gamma 90.00
loop_
_space_group_symop_operation_xyz
'x,y,z'
'-x,-y,-z'
'-x+1/2,-y,z+1/2'
'x+1/2,y,-z+1/2'
'x+1/2,-y+1/2,-z+1/2'
'-x+1/2,y+1/2,z+1/2'
'-x,y+1/2,-z'
'x,-y+1/2,z'
loop_
_atom_site_label
_atom_site_fract_x
_atom_site_fract_y
_atom_site_fract_z
Ho1 0.001 0.250 0.186
Si1 0.203 0.750 0.389
Ir1 0.157 0.250 0.567
```

* E_form (uncorrected): -1.23 eV per atom
* crystal system: orthorhombic

=====

Entry 4:
Computed, not measured: Ho3Si13Ir4 at its PBEsol-relaxed geometry at the SCAN level of DFT.

Geometry as CIF:
```
data_Ho3Si13Ir4
_space_group_name_H-M_alt 'P m -3 n'
_space_group_IT_number 223
_space_group_name_Hall '-P 4n 2 3'
_cell_length_a 8.666
_cell_length_b 8.666
_cell_length_c 8.666
_cell_angle_alpha 90.00
_cell_angle_beta 90.00
_cell_angle_gamma 90.00
loop_
_atom_site_label
_atom_site_fract_x
_atom_site_fract_y
_atom_site_fract_z
Ho1 0.000 0.250 0.500
Si1 0.000 0.000 0.000
Si2 0.000 0.293 0.138
Ir1 0.250 0.250 0.250
```

* E_form (uncorrected): -0.66 eV per atom
* crystal system: cubic

=====

Entry 5:
Computed, not measured: SmHoIr2 at its PBEsol-relaxed geometry at the SCAN level of DFT.

Geometry as CIF:
```
data_SmHoIr2
_space_group_name_H-M_alt 'F m -3 m'
_space_group_IT_number 225
_space_group_name_Hall '-F 4 2 3'
_cell_length_a 6.814
_cell_length_b 6.814
_cell_length_c 6.814
_cell_angle_alpha 90.00
_cell_angle_beta 90.00
_cell_angle_gamma 90.00
loop_
_atom_site_label
_atom_site_fract_x
_atom_site_fract_y
_atom_site_fract_z
Sm1 0.000 0.000 0.000
Ho1 0.000 0.000 0.500
Ir1 0.250 0.250 0.250
```

* calculated formation energy: -0.90 eV/atom
* crystal system: cubic

=====

Entry 6:
Computed, not measured: HoSnIr at its PBEsol-relaxed geometry at the SCAN level of DFT.

Geometry as CIF:
```
data_HoSnIr
_space_group_name_H-M_alt 'P -6 2 m'
_space_group_IT_number 189
_space_group_name_Hall 'P -6 -2'
_cell_length_a 7.4540
_cell_length_b 7.4540
_cell_length_c 3.7822
_cell_angle_alpha 90.00
_cell_angle_beta 90.00
_cell_angle_gamma 120.00
loop_
_atom_site_label
_atom_site_fract_x
_atom_site_fract_y
_atom_site_fract_z
Ho1 0.0000 0.4048 0.0000
Sn1 0.0000 0.7366 0.5000
Ir1 0.0000 0.0000 0.0000
Ir2 0.3333 0.6667 0.5000
```

* calculated formation energy: -1.00 eV/atom
* crystal system: hexagonal

=====

Entry 7:
Computed, not measured: Ho2ZnIr at its PBEsol-relaxed geometry at the SCAN level of DFT.

Geometry as CIF:
```
data_Ho2ZnIr
_space_group_name_H-M_alt 'F m -3 m'
_space_group_IT_number 225
_space_group_name_Hall '-F 4 2 3'
_cell_length_a 6.823
_cell_length_b 6.823
_cell_length_c 6.823
_cell_angle_alpha 90.00
_cell_angle_beta 90.00
_cell_angle_gamma 90.00
loop_
_atom_site_label
_atom_site_fract_x
_atom_site_fract_y
_atom_site_fract_z
Ho1 0.250 0.250 0.250
Zn1 0.000 0.000 0.000
Ir1 0.000 0.000 0.500
```

* calculated formation energy: -0.80 eV/atom
* crystal system: cubic

=====

Entry 8:
Computed, not measured: KHoMo2O8 at its PBEsol-relaxed geometry at the SCAN level of DFT.

Geometry as CIF:
```
data_KHoMo2O8
_space_group_name_H-M_alt 'P b c n'
_space_group_IT_number 60
_cell_length_a 5.050
_cell_length_b 18.355
_cell_length_c 7.808
_cell_angle_alpha 90.00
_cell_angle_beta 90.00
_cell_angle_gamma 90.00
loop_
_space_group_symop_operation_xyz
'x,y,z'
'-x,-y,-z'
'-x+1/2,-y+1/2,z+1/2'
'x+1/2,y+1/2,-z+1/2'
'x+1/2,-y+1/2,-z'
'-x+1/2,y+1/2,z'
'-x,y,-z+1/2'
'x,-y,z+1/2'
loop_
_atom_site_label
_atom_site_fract_x
_atom_site_fract_y
_atom_site_fract_z
K1 0.000 0.227 0.250
Ho1 0.000 0.005 0.750
Mo1 0.020 0.400 0.515
O1 0.108 0.313 0.981
O2 0.232 0.402 0.336
O3 0.242 0.407 0.693
O4 0.248 0.033 0.505
```

* E_form (uncorrected): -2.66 eV per atom
* crystal system: orthorhombic

=====

Entry 9:
Computed, not measured: KHoMo2O8 at its PBEsol-relaxed geometry at the SCAN level of DFT.

Geometry as CIF:
```
data_KHoMo2O8
_space_group_name_H-M_alt 'C 1 2/c 1'
_space_group_IT_number 15
_cell_length_a 10.525
_cell_length_b 10.199
_cell_length_c 7.620
_cell_angle_alpha 90.00
_cell_angle_beta 131.17
_cell_angle_gamma 90.00
loop_
_space_group_symop_operation_xyz
'x,y,z'
'-x,-y,-z'
'-x,y,-z+1/2'
'x,-y,z+1/2'
'x+1/2,y+1/2,z'
'-x+1/2,-y+1/2,-z'
'-x+1/2,y+1/2,-z+1/2'
'x+1/2,-y+1/2,z+1/2'
loop_
_atom_site_label
_atom_site_fract_x
_atom_site_fract_y
_atom_site_fract_z
K1 0.000 0.198 0.250
Ho1 0.000 0.230 0.750
Mo1 0.197 0.497 0.242
O1 0.025 0.391 0.971
O2 0.124 0.078 0.691
O3 0.192 0.418 0.442
O4 0.229 0.158 0.122
```

* E_form (uncorrected): -2.65 eV per atom
* crystal system: monoclinic

=====

Entry 10:
Computed, not measured: KHoP4O12 at its PBEsol-relaxed geometry at the SCAN level of DFT.

Geometry as CIF:
```
data_KHoP4O12
_space_group_name_H-M_alt 'C 1 2/c 1'
_space_group_IT_number 15
_cell_length_a 7.821
_cell_length_b 12.337
_cell_length_c 10.406
_cell_angle_alpha 90.00
_cell_angle_beta 111.16
_cell_angle_gamma 90.00
loop_
_space_group_symop_operation_xyz
'x,y,z'
'-x,-y,-z'
'-x,y,-z+1/2'
'x,-y,z+1/2'
'x+1/2,y+1/2,z'
'-x+1/2,-y+1/2,-z'
'-x+1/2,y+1/2,-z+1/2'
'x+1/2,-y+1/2,z+1/2'
loop_
_atom_site_label
_atom_site_fract_x
_atom_site_fract_y
_atom_site_fract_z
K1 0.000 0.185 0.250
Ho1 0.000 0.119 0.750
P1 0.045 0.328 0.996
P2 0.221 0.475 0.442
O1 0.054 0.242 0.604
O2 0.069 0.430 0.910
O3 0.099 0.369 0.435
O4 0.145 0.011 0.413
O5 0.214 0.032 0.675
O6 0.215 0.301 0.116
```

* E_form (uncorrected): -2.73 eV per atom
* crystal system: monoclinic

=====

Entry 11:
Computed, not measured: K2RbHoV2O8 at its PBEsol-relaxed geometry at the SCAN level of DFT.

Geometry as CIF:
```
data_K2RbHoV2O8
_space_group_name_H-M_alt 'P -3 m 1'
_space_group_IT_number 164
_space_group_name_Hall '-P 3 2"'
_cell_length_a 5.9064
_cell_length_b 5.9064
_cell_length_c 7.5945
_cell_angle_alpha 90.00
_cell_angle_beta 90.00
_cell_angle_gamma 120.00
loop_
_atom_site_label
_atom_site_fract_x
_atom_site_fract_y
_atom_site_fract_z
K1 0.3333 0.6667 0.1892
Rb1 0.0000 0.0000 0.5000
Ho1 0.0000 0.0000 0.0000
V1 0.3333 0.6667 0.7459
O1 0.1744 0.3488 0.8262
O2 0.3333 0.6667 0.5279
```

* E_form (uncorrected): -2.83 eV per atom
* crystal system: trigonal

=====

Entry 12:
Computed, not measured: K3HoSi2O7 at its PBEsol-relaxed geometry at the SCAN level of DFT.

Geometry as CIF:
```
data_K3HoSi2O7
_space_group_name_H-M_alt 'P 63/m c m'
_space_group_IT_number 193
_space_group_name_Hall '-P 6c 2'
_cell_length_a 9.8191
_cell_length_b 9.8191
_cell_length_c 14.3151
_cell_angle_alpha 90.00
_cell_angle_beta 90.00
_cell_angle_gamma 120.00
loop_
_atom_site_label
_atom_site_fract_x
_atom_site_fract_y
_atom_site_fract_z
K1 0.0000 0.0000 0.0000
K2 0.0000 0.3327 0.0905
K3 0.3333 0.6667 0.2500
Ho1 0.0000 0.0000 0.2500
Ho2 0.3333 0.6667 0.0000
Si1 0.0000 0.3416 0.6426
O1 0.0000 0.1757 0.6482
O2 0.0000 0.4100 0.7500
O3 0.1569 0.4782 0.5909
```

* E_form (uncorrected): -2.98 eV per atom
* crystal system: hexagonal

=====

Entry 13:
Computed, not measured: La3Ho at its PBEsol-relaxed geometry at the SCAN level of DFT.

Geometry as CIF:
```
data_La3Ho
_space_group_name_H-M_alt 'I 4/m m m'
_space_group_IT_number 139
_space_group_name_Hall '-I 4 2'
_cell_length_a 5.075
_cell_length_b 5.075
_cell_length_c 10.175
_cell_angle_alpha 90.00
_cell_angle_beta 90.00
_cell_angle_gamma 90.00
loop_
_atom_site_label
_atom_site_fract_x
_atom_site_fract_y
_atom_site_fract_z
La1 0.000 0.000 0.000
La2 0.000 0.500 0.250
Ho1 0.000 0.000 0.500
```

* calculated formation energy: 0.02 eV/atom
* crystal system: tetragonal

=====

Entry 14:
Computed, not measured: LaHo3S6 at its PBEsol-relaxed geometry at the SCAN level of DFT.

Geometry as CIF:
```
data_LaHo3S6
_space_group_name_H-M_alt 'P 1 21/m 1'
_space_group_IT_number 11
_cell_length_a 10.915
_cell_length_b 3.947
_cell_length_c 11.217
_cell_angle_alpha 90.00
_cell_angle_beta 108.88
_cell_angle_gamma 90.00
loop_
_space_group_symop_operation_xyz
'x,y,z'
'-x,-y,-z'
'-x,y+1/2,-z'
'x,-y+1/2,z'
loop_
_atom_site_label
_atom_site_fract_x
_atom_site_fract_y
_atom_site_fract_z
La1 0.052 0.250 0.196
Ho1 0.160 0.250 0.587
Ho2 0.321 0.750 0.999
Ho3 0.445 0.250 0.333
S1 0.084 0.750 0.407
S2 0.122 0.250 0.964
S3 0.197 0.750 0.749
S4 0.269 0.750 0.230
S5 0.392 0.250 0.555
S6 0.481 0.250 0.112
```

* E_form (uncorrected): -2.42 eV per atom
* crystal system: monoclinic

=====

Entry 15:
Computed, not measured: LaHoTl2 at its PBEsol-relaxed geometry at the SCAN level of DFT.

Geometry as CIF:
```
data_LaHoTl2
_space_group_name_H-M_alt 'F m -3 m'
_space_group_IT_number 225
_space_group_name_Hall '-F 4 2 3'
_cell_length_a 7.623
_cell_length_b 7.623
_cell_length_c 7.623
_cell_angle_alpha 90.00
_cell_angle_beta 90.00
_cell_angle_gamma 90.00
loop_
_atom_site_label
_atom_site_fract_x
_atom_site_fract_y
_atom_site_fract_z
La1 0.000 0.000 0.000
Ho1 0.000 0.000 0.500
Tl1 0.250 0.250 0.250
```

* calculated formation energy: -0.57 eV/atom
* crystal system: cubic

=====

no.,V (Å³/cell)
1,319.1
2,297.9
3,207.3
4,650.9
5,316.3
6,182.0
7,317.7
8,723.7
9,615.8
10,936.4
11,229.4
12,1195.3
13,262.1
14,457.2
15,443.0